# Ba4TaO7

Ba4TaO7 after structural relaxation (PBE-GGA, Alexandria via LeMat-Bulk).

Unit cell a=4.024 b=8.475 c=7.436 alpha=88.22 beta=74.30 gamma=76.27
Last column: magnetic moment on the atom in μB.
Fractional positions:
O: 0.745 0.876 0.635  0.01
O: 0.065 0.783 0.088  0.00
O: 0.401 0.531 0.667  0.40
O: 0.500 0.000 0.000  0.00
O: 0.599 0.469 0.333  0.40
O: 0.255 0.124 0.365  0.01
O: 0.935 0.217 0.912  0.00
Ba: 0.757 0.640 0.846  0.02
Ba: 0.602 0.208 0.588  -0.01
Ba: 0.243 0.360 0.154  0.02
Ba: 0.398 0.792 0.412  -0.01
Ta: 0.000 0.000 0.000  -0.01

Summary:
DFT total energy ... -6.6978 eV/atom
D(E_F) ... 0.014 states/eV per atom
Volume ... 237.03 Å³ per cell